No. 1
# PuPaCd

PuPaCd after structural relaxation (PBE, the Alexandria database). Values from VASP.

Geometry as Quantum ESPRESSO input:
```
&SYSTEM
  ibrav = 0, nat = 3, ntyp = 3
/
ATOMIC_SPECIES
Pu 244.00 Pu.upf
Pa 231.04 Pa.upf
Cd 112.41 Cd.upf
CELL_PARAMETERS angstrom
-1.8678 1.8678 5.2619
1.8678 -1.8678 5.2619
1.8678 1.8678 -5.2619
ATOMIC_POSITIONS crystal
Pu 0.0000 0.0000 0.0000
Pa 0.6312 0.6312 0.0000
Cd 0.3169 0.3169 0.0000
```

Summary:
The space group is I4mm. Its total moment is 2.181 μB/atom. The distance to the lowest polymorph of the same formula comes out at 139 meV per atom. The value obtained for the formation energy is 0.159 eV per atom.


No. 2
# Rb3PaCd2Se6

Rb3PaCd2Se6 after structural relaxation (PBE, the Alexandria database). Values from VASP.

Geometry as Quantum ESPRESSO input:
```
&SYSTEM
  ibrav = 0, nat = 12, ntyp = 4
/
ATOMIC_SPECIES
Rb 85.47 Rb.upf
Pa 231.04 Pa.upf
Cd 112.41 Cd.upf
Se 78.96 Se.upf
CELL_PARAMETERS angstrom
3.6287 -6.3165 0.0000
3.6287 6.3165 0.0000
-2.3985 0.0000 8.0150
ATOMIC_POSITIONS crystal
Rb 0.0000 0.0000 0.0000
Rb 0.3286 0.6714 0.0000
Rb 0.6714 0.3286 0.0000
Pa 0.5000 0.5000 0.5000
Cd 0.1658 0.8342 0.5000
Cd 0.8342 0.1658 0.5000
Se 0.1112 0.4342 0.3057
Se 0.2437 0.2437 0.6976
Se 0.4342 0.1112 0.3057
Se 0.5658 0.8888 0.6943
Se 0.7563 0.7563 0.3024
Se 0.8888 0.5658 0.6943
```

Summary:
The space group is C2/m. Its total moment is 0.000 μB/atom. The value obtained for the formation energy without anion corrections is -12.775 eV per formula unit.


No. 3
# Rb3Pa3CdSe8

Rb3Pa3CdSe8 after structural relaxation (PBE, the Alexandria database). Values from VASP.

Geometry as Quantum ESPRESSO input:
```
&SYSTEM
  ibrav = 0, nat = 15, ntyp = 4
/
ATOMIC_SPECIES
Rb 85.47 Rb.upf
Pa 231.04 Pa.upf
Cd 112.41 Cd.upf
Se 78.96 Se.upf
CELL_PARAMETERS angstrom
4.1877 2.4178 8.2009
-4.1877 2.4178 8.2009
0.0000 -4.8355 8.2009
ATOMIC_POSITIONS crystal
Rb 0.0000 0.5000 0.5000
Rb 0.5000 0.0000 0.5000
Rb 0.5000 0.5000 0.0000
Pa 0.0000 0.0000 0.5000
Pa 0.0000 0.5000 0.0000
Pa 0.5000 0.0000 0.0000
Cd 0.5000 0.5000 0.5000
Se 0.2255 0.7345 0.7345
Se 0.2331 0.2331 0.2331
Se 0.2655 0.2655 0.7745
Se 0.2655 0.7745 0.2655
Se 0.7345 0.2255 0.7345
Se 0.7345 0.7345 0.2255
Se 0.7669 0.7669 0.7669
Se 0.7745 0.2655 0.2655
```

Summary:
The space group is R-3m. Its total moment is 0.264 μB/atom. The value obtained for the formation energy without anion corrections is -18.427 eV per formula unit.


No. 4
# Rb2PaCdTe5

Rb2PaCdTe5 after structural relaxation (PBE, the Alexandria database). Values from VASP.

Geometry as Quantum ESPRESSO input:
```
&SYSTEM
  ibrav = 0, nat = 18, ntyp = 4
/
ATOMIC_SPECIES
Rb 85.47 Rb.upf
Pa 231.04 Pa.upf
Cd 112.41 Cd.upf
Te 127.60 Te.upf
CELL_PARAMETERS angstrom
2.2210 -11.1025 0.0000
2.2210 11.1025 0.0000
0.0000 0.0000 15.3840
ATOMIC_POSITIONS crystal
Rb 0.1202 0.8798 0.5000
Rb 0.1309 0.8691 0.1356
Rb 0.8691 0.1309 0.6356
Rb 0.8798 0.1202 0.0000
Pa 0.2005 0.7995 0.8267
Pa 0.7995 0.2005 0.3267
Cd 0.4352 0.5648 0.2434
Cd 0.5648 0.4352 0.7435
Te 0.0649 0.9351 0.8608
Te 0.2966 0.7034 0.4593
Te 0.3047 0.6953 0.1889
Te 0.3312 0.6688 0.8220
Te 0.5002 0.4998 0.0915
Te 0.4998 0.5002 0.5915
Te 0.6688 0.3312 0.3220
Te 0.6953 0.3047 0.6889
Te 0.7034 0.2966 0.9593
Te 0.9351 0.0649 0.3608
```

Summary:
The space group is Cmc2_1. Its total moment is 0.000 μB/atom. The value obtained for the formation energy without anion corrections is -6.728 eV per formula unit.


No. 5
# Rb2PaCdTe4

Rb2PaCdTe4 after structural relaxation (PBE, the Alexandria database). Values from VASP.

Geometry as Quantum ESPRESSO input:
```
&SYSTEM
  ibrav = 0, nat = 8, ntyp = 4
/
ATOMIC_SPECIES
Rb 85.47 Rb.upf
Pa 231.04 Pa.upf
Cd 112.41 Cd.upf
Te 127.60 Te.upf
CELL_PARAMETERS angstrom
8.0372 0.0000 0.0000
0.0000 4.5083 0.0000
-2.8335 0.0000 8.4984
ATOMIC_POSITIONS crystal
Rb 0.0000 0.0000 0.0000
Rb 0.5000 0.5000 0.0000
Pa 0.0000 0.5000 0.5000
Cd 0.5000 0.0000 0.5000
Te 0.2197 0.0000 0.7079
Te 0.2703 0.5000 0.3151
Te 0.7297 0.5000 0.6849
Te 0.7803 0.0000 0.2921
```

Summary:
The space group is P2/m. Its total moment is 0.124 μB/atom. The value obtained for the formation energy without anion corrections is -6.556 eV per formula unit.


No. 6
# PaCdRe

PaCdRe after structural relaxation (PBE, the Alexandria database). Values from VASP.

Geometry as Quantum ESPRESSO input:
```
&SYSTEM
  ibrav = 0, nat = 6, ntyp = 3
/
ATOMIC_SPECIES
Pa 231.04 Pa.upf
Cd 112.41 Cd.upf
Re 186.21 Re.upf
CELL_PARAMETERS angstrom
6.1303 -2.2718 0.0000
6.1303 2.2718 0.0000
-0.0099 0.0000 4.5428
ATOMIC_POSITIONS crystal
Pa 0.1086 0.1086 0.2495
Pa 0.8914 0.8914 0.7505
Cd 0.4048 0.4048 0.2504
Cd 0.5952 0.5952 0.7496
Re 0.2453 0.2453 0.7495
Re 0.7547 0.7547 0.2505
```

Summary:
The space group is C2/m. Its total moment is 0.000 μB/atom. The value obtained for the formation energy is 0.241 eV per atom.


No. 7
# Pa2CdRe

Pa2CdRe after structural relaxation (PBE, the Alexandria database). Values from VASP.

Geometry as Quantum ESPRESSO input:
```
&SYSTEM
  ibrav = 0, nat = 4, ntyp = 3
/
ATOMIC_SPECIES
Pa 231.04 Pa.upf
Cd 112.41 Cd.upf
Re 186.21 Re.upf
CELL_PARAMETERS angstrom
1.5500 0.8949 11.2918
-1.5500 0.8949 11.2918
0.0000 -1.7898 11.2918
ATOMIC_POSITIONS crystal
Pa 0.0983 0.0983 0.0983
Pa 0.9017 0.9017 0.9017
Cd 0.0000 0.0000 0.0000
Re 0.5000 0.5000 0.5000
```

Summary:
The space group is R-3m. Its total moment is 0.000 μB/atom. The distance to the lowest polymorph of the same formula comes out at 357 meV per atom. The value obtained for the formation energy is 0.322 eV per atom.


No. 8
# Pa2CdRe

Pa2CdRe after structural relaxation (PBE, the Alexandria database). Values from VASP.

Geometry as Quantum ESPRESSO input:
```
&SYSTEM
  ibrav = 0, nat = 4, ntyp = 3
/
ATOMIC_SPECIES
Pa 231.04 Pa.upf
Cd 112.41 Cd.upf
Re 186.21 Re.upf
CELL_PARAMETERS angstrom
3.1867 0.0000 0.0000
0.0000 3.1867 0.0000
0.0000 0.0000 8.9828
ATOMIC_POSITIONS crystal
Pa 0.0000 0.0000 0.2101
Pa 0.0000 0.0000 0.7899
Cd 0.5000 0.5000 0.5000
Re 0.5000 0.5000 0.0000
```

Summary:
The space group is P4/mmm. Its total moment is 0.000 μB/atom. The distance to the lowest polymorph of the same formula comes out at 0 meV per atom. The value obtained for the formation energy is -0.035 eV per atom.